No. 1
Density functional theory data (PBE) for crystalline Sc6Co2Rh at its relaxed geometry.

Results
- calculated volume (Å³/cell) = 339.1
- space-group type = No. 71
- ΔH_f (0 K) (meV/atom) = -421

a = 7.610 Å, b = 7.610 Å, c = 7.610 Å
α = 108.40°, β = 110.99°, γ = 109.03°
Element x y z (fractional)
Sc  0.556  0.735  0.820
Sc  0.444  0.265  0.180
Sc  0.085  0.265  0.820
Sc  0.915  0.735  0.180
Sc  0.808  0.745  0.553
Sc  0.192  0.255  0.447
Sc  0.192  0.745  0.938
Sc  0.808  0.255  0.062
Sc  0.694  0.368  0.674
Sc  0.306  0.632  0.326
Sc  0.306  0.980  0.674
Sc  0.694  0.020  0.326
Co  0.500  0.378  0.878
Co  0.500  0.622  0.122
Co  0.656  0.000  0.656
Co  0.344  0.000  0.344
Rh  0.000  0.500  0.500
Rh  0.000  0.000  0.000

=====

No. 2
Density functional theory data (PBE) for crystalline Sc2CoRh at its relaxed geometry.

Results
- calculated volume (Å³/cell) = 67.1
- space-group type = No. 166
- ΔH_f (0 K) (meV/atom) = -285

a = 8.032 Å, b = 8.032 Å, c = 8.032 Å
α = 22.59°, β = 22.59°, γ = 22.59°
Element x y z (fractional)
Co  0.250  0.250  0.250
Rh  0.750  0.750  0.750
Sc  0.997  0.997  0.997
Sc  0.503  0.503  0.503

=====

No. 3
Density functional theory data (PBE) for crystalline ScCoRhSe2 at its relaxed geometry.

Results
- calculated volume (Å³/cell) = 104.0
- space-group type = No. 123
- energy relative to the elements, uncorrected (eV per atom) = 0.168

a = 4.877 Å, b = 4.373 Å, c = 4.877 Å
α = 90.00°, β = 90.00°, γ = 90.00°
Element x y z (fractional)
Sc  0.500  0.500  0.500
Co  0.000  0.500  0.000
Rh  0.000  0.000  0.000
Se  0.000  0.000  0.500
Se  0.500  0.000  0.000

=====

Please write out number 1 again, unchanged.
Density functional theory data (PBE) for crystalline Sc6Co2Rh at its relaxed geometry.

Results
- calculated volume (Å³/cell) = 339.1
- space-group type = No. 71
- ΔH_f (0 K) (meV/atom) = -421

a = 7.610 Å, b = 7.610 Å, c = 7.610 Å
α = 108.40°, β = 110.99°, γ = 109.03°
Element x y z (fractional)
Sc  0.556  0.735  0.820
Sc  0.444  0.265  0.180
Sc  0.085  0.265  0.820
Sc  0.915  0.735  0.180
Sc  0.808  0.745  0.553
Sc  0.192  0.255  0.447
Sc  0.192  0.745  0.938
Sc  0.808  0.255  0.062
Sc  0.694  0.368  0.674
Sc  0.306  0.632  0.326
Sc  0.306  0.980  0.674
Sc  0.694  0.020  0.326
Co  0.500  0.378  0.878
Co  0.500  0.622  0.122
Co  0.656  0.000  0.656
Co  0.344  0.000  0.344
Rh  0.000  0.500  0.500
Rh  0.000  0.000  0.000

=====

- Look up the calculated volume of the third one.
  104.0 Å³/cell

=====

- Number 1 is which compound?
  Sc6Co2Rh